# HfPaCrC3 | Alexandria via LeMat-Bulk | PBE | optimized geometry
data_HfPaCrC3
_space_group_name_H-M_alt 'P 1'
_space_group_IT_number 1
_cell_length_a 7.045
_cell_length_b 3.353
_cell_length_c 7.392
_cell_angle_alpha 90.00
_cell_angle_beta 100.88
_cell_angle_gamma 90.00
loop_
_space_group_symop_operation_xyz
'x,y,z'
loop_
_atom_site_label
_atom_site_fract_x
_atom_site_fract_y
_atom_site_fract_z
Hf1 0.145 0.250 0.156
Hf2 0.855 0.750 0.844
Pa1 0.323 0.750 0.809
Pa2 0.677 0.250 0.191
Cr1 0.405 0.750 0.399
Cr2 0.595 0.250 0.601
C1 0.088 0.250 0.843
C2 0.322 0.250 0.484
C3 0.384 0.750 0.141
C4 0.616 0.250 0.859
C5 0.678 0.750 0.516
C6 0.912 0.750 0.157
# Total magnetization in μB/cell: 0.0
# Crystal system: monoclinic
# E_form in eV per atom: -0.24

***

# HfCrPb2C | Alexandria via LeMat-Bulk | PBE | optimized geometry
data_HfCrPb2C
_space_group_name_H-M_alt 'P 1'
_space_group_IT_number 1
_cell_length_a 5.655
_cell_length_b 5.655
_cell_length_c 4.556
_cell_angle_alpha 90.00
_cell_angle_beta 90.00
_cell_angle_gamma 90.00
loop_
_space_group_symop_operation_xyz
'x,y,z'
loop_
_atom_site_label
_atom_site_fract_x
_atom_site_fract_y
_atom_site_fract_z
Hf1 0.000 0.000 0.000
Cr1 0.000 0.000 0.500
Pb1 0.000 0.500 0.000
Pb2 0.500 0.000 0.000
C1 0.500 0.500 0.500
# Total magnetization in μB/cell: 1.5
# Crystal system: tetragonal
# E_form in eV per atom: 2.34

***

# Hf2CrPdC | Alexandria via LeMat-Bulk | PBE | optimized geometry
data_Hf2CrPdC
_space_group_name_H-M_alt 'P 1'
_space_group_IT_number 1
_cell_length_a 4.514
_cell_length_b 4.514
_cell_length_c 3.778
_cell_angle_alpha 90.00
_cell_angle_beta 90.00
_cell_angle_gamma 90.00
loop_
_space_group_symop_operation_xyz
'x,y,z'
loop_
_atom_site_label
_atom_site_fract_x
_atom_site_fract_y
_atom_site_fract_z
Hf1 0.000 0.500 0.000
Hf2 0.500 0.000 0.000
Cr1 0.000 0.000 0.500
Pd1 0.500 0.500 0.500
C1 0.000 0.000 0.000
# Total magnetization in μB/cell: 0.0
# Crystal system: tetragonal
# E_form in eV per atom: -0.47

***

# HfCr2RhC | Alexandria via LeMat-Bulk | PBE | optimized geometry
data_HfCr2RhC
_space_group_name_H-M_alt 'P 1'
_space_group_IT_number 1
_cell_length_a 4.560
_cell_length_b 4.560
_cell_length_c 5.004
_cell_angle_alpha 90.00
_cell_angle_beta 90.00
_cell_angle_gamma 90.00
loop_
_space_group_symop_operation_xyz
'x,y,z'
loop_
_atom_site_label
_atom_site_fract_x
_atom_site_fract_y
_atom_site_fract_z
Hf1 0.000 0.000 0.000
Cr1 0.000 0.500 0.500
Cr2 0.500 0.000 0.500
Rh1 0.000 0.000 0.500
C1 0.500 0.500 0.000
# Total magnetization in μB/cell: 6.4
# Crystal system: tetragonal
# E_form in eV per atom: 1.96

***

# HfCrRu2C | Alexandria via LeMat-Bulk | PBE | optimized geometry
data_HfCrRu2C
_space_group_name_H-M_alt 'P 1'
_space_group_IT_number 1
_cell_length_a 4.103
_cell_length_b 4.103
_cell_length_c 3.971
_cell_angle_alpha 90.00
_cell_angle_beta 90.00
_cell_angle_gamma 90.00
loop_
_space_group_symop_operation_xyz
'x,y,z'
loop_
_atom_site_label
_atom_site_fract_x
_atom_site_fract_y
_atom_site_fract_z
Hf1 0.000 0.000 0.000
Cr1 0.500 0.500 0.000
Ru1 0.000 0.500 0.500
Ru2 0.500 0.000 0.500
C1 0.500 0.500 0.500
# Total magnetization in μB/cell: 1.6
# Crystal system: tetragonal
# E_form in eV per atom: -0.26

***

# HfCrTc2C | Alexandria via LeMat-Bulk | PBE | optimized geometry
data_HfCrTc2C
_space_group_name_H-M_alt 'P 1'
_space_group_IT_number 1
_cell_length_a 4.190
_cell_length_b 4.190
_cell_length_c 3.917
_cell_angle_alpha 90.00
_cell_angle_beta 90.00
_cell_angle_gamma 90.00
loop_
_space_group_symop_operation_xyz
'x,y,z'
loop_
_atom_site_label
_atom_site_fract_x
_atom_site_fract_y
_atom_site_fract_z
Hf1 0.000 0.000 0.000
Cr1 0.500 0.500 0.000
Tc1 0.000 0.500 0.500
Tc2 0.500 0.000 0.500
C1 0.500 0.500 0.500
# Total magnetization in μB/cell: 2.3
# Crystal system: tetragonal
# E_form in eV per atom: -0.17

***

# Hf2ThCrC4 | Alexandria via LeMat-Bulk | PBE | optimized geometry
data_Hf2ThCrC4
_space_group_name_H-M_alt 'P 1'
_space_group_IT_number 1
_cell_length_a 6.004
_cell_length_b 6.004
_cell_length_c 11.271
_cell_angle_alpha 90.00
_cell_angle_beta 90.00
_cell_angle_gamma 147.71
loop_
_space_group_symop_operation_xyz
'x,y,z'
loop_
_atom_site_label
_atom_site_fract_x
_atom_site_fract_y
_atom_site_fract_z
Hf1 0.130 0.870 0.545
Hf2 0.130 0.870 0.955
Hf3 0.870 0.130 0.045
Hf4 0.870 0.130 0.455
Th1 0.405 0.595 0.750
Th2 0.595 0.405 0.250
Cr1 0.331 0.669 0.250
Cr2 0.669 0.331 0.750
C1 0.078 0.922 0.750
C2 0.237 0.763 0.120
C3 0.237 0.763 0.380
C4 0.500 0.500 0.000
C5 0.500 0.500 0.500
C6 0.763 0.237 0.620
C7 0.763 0.237 0.880
C8 0.922 0.078 0.250
# Total magnetization in μB/cell: 0.0
# Crystal system: orthorhombic
# E_form in eV per atom: -0.48

***

# HfU2Cr2C4 | Alexandria via LeMat-Bulk | PBE | optimized geometry
data_HfU2Cr2C4
_space_group_name_H-M_alt 'P 1'
_space_group_IT_number 1
_cell_length_a 6.597
_cell_length_b 6.597
_cell_length_c 5.836
_cell_angle_alpha 104.95
_cell_angle_beta 104.95
_cell_angle_gamma 27.50
loop_
_space_group_symop_operation_xyz
'x,y,z'
loop_
_atom_site_label
_atom_site_fract_x
_atom_site_fract_y
_atom_site_fract_z
Hf1 0.000 0.000 0.000
U1 0.126 0.126 0.538
U2 0.874 0.874 0.462
Cr1 0.319 0.319 0.987
Cr2 0.681 0.681 0.013
C1 0.231 0.231 0.231
C2 0.460 0.460 0.252
C3 0.540 0.540 0.748
C4 0.769 0.769 0.769
# Total magnetization in μB/cell: 2.4
# Crystal system: monoclinic
# E_form in eV per atom: -0.15

***

# HfUCrC3 | Alexandria via LeMat-Bulk | PBE | optimized geometry
data_HfUCrC3
_space_group_name_H-M_alt 'P 1'
_space_group_IT_number 1
_cell_length_a 7.006
_cell_length_b 3.262
_cell_length_c 7.292
_cell_angle_alpha 90.00
_cell_angle_beta 99.67
_cell_angle_gamma 90.00
loop_
_space_group_symop_operation_xyz
'x,y,z'
loop_
_atom_site_label
_atom_site_fract_x
_atom_site_fract_y
_atom_site_fract_z
Hf1 0.142 0.250 0.158
Hf2 0.858 0.750 0.842
U1 0.329 0.750 0.810
U2 0.671 0.250 0.190
Cr1 0.401 0.750 0.401
Cr2 0.599 0.250 0.599
C1 0.095 0.250 0.842
C2 0.318 0.250 0.503
C3 0.382 0.750 0.137
C4 0.618 0.250 0.863
C5 0.682 0.750 0.497
C6 0.905 0.750 0.158
# Total magnetization in μB/cell: 0.9
# Crystal system: monoclinic
# E_form in eV per atom: -0.13

***

# HfCrWC2 | Alexandria via LeMat-Bulk | PBE | optimized geometry
data_HfCrWC2
_space_group_name_H-M_alt 'P 1'
_space_group_IT_number 1
_cell_length_a 4.024
_cell_length_b 4.024
_cell_length_c 5.311
_cell_angle_alpha 90.00
_cell_angle_beta 90.00
_cell_angle_gamma 90.00
loop_
_space_group_symop_operation_xyz
'x,y,z'
loop_
_atom_site_label
_atom_site_fract_x
_atom_site_fract_y
_atom_site_fract_z
Hf1 0.000 0.000 0.000
Cr1 0.500 0.500 0.000
W1 0.000 0.000 0.500
C1 0.000 0.500 0.500
C2 0.500 0.000 0.500
# Total magnetization in μB/cell: 0.0
# Crystal system: tetragonal
# E_form in eV per atom: 2.05

***

# Hf2ZnCrC | Alexandria via LeMat-Bulk | PBE | optimized geometry
data_Hf2ZnCrC
_space_group_name_H-M_alt 'P 1'
_space_group_IT_number 1
_cell_length_a 5.139
_cell_length_b 5.139
_cell_length_c 3.476
_cell_angle_alpha 90.00
_cell_angle_beta 90.00
_cell_angle_gamma 90.00
loop_
_space_group_symop_operation_xyz
'x,y,z'
loop_
_atom_site_label
_atom_site_fract_x
_atom_site_fract_y
_atom_site_fract_z
Hf1 0.000 0.500 0.000
Hf2 0.500 0.000 0.000
Zn1 0.000 0.000 0.000
Cr1 0.500 0.500 0.500
C1 0.000 0.000 0.500
# Total magnetization in μB/cell: 3.2
# Crystal system: tetragonal
# E_form in eV per atom: 1.36

***

# HfZr2CrC4 | Alexandria via LeMat-Bulk | PBE | optimized geometry
data_HfZr2CrC4
_space_group_name_H-M_alt 'P 1'
_space_group_IT_number 1
_cell_length_a 5.775
_cell_length_b 5.775
_cell_length_c 11.332
_cell_angle_alpha 90.00
_cell_angle_beta 90.00
_cell_angle_gamma 147.61
loop_
_space_group_symop_operation_xyz
'x,y,z'
loop_
_atom_site_label
_atom_site_fract_x
_atom_site_fract_y
_atom_site_fract_z
Hf1 0.117 0.883 0.750
Hf2 0.883 0.117 0.250
Zr1 0.367 0.633 0.541
Zr2 0.367 0.633 0.959
Zr3 0.633 0.367 0.041
Zr4 0.633 0.367 0.459
Cr1 0.146 0.854 0.250
Cr2 0.854 0.146 0.750
C1 0.000 0.000 0.000
C2 0.000 0.000 0.500
C3 0.264 0.736 0.132
C4 0.264 0.736 0.368
C5 0.456 0.544 0.750
C6 0.544 0.456 0.250
C7 0.736 0.264 0.632
C8 0.736 0.264 0.868
# Total magnetization in μB/cell: 0.0
# Crystal system: orthorhombic
# E_form in eV per atom: -0.31